{
  "formula": "PrZrSc",
  "functional": "PBE-GGA",
  "state": "relaxed",
  "lattice_angstrom": [[3.651, 0.000, 0.000], [0.000, 3.651, 0.000], [0.000, 0.000, 12.458]],
  "species": ["Pr", "Pr", "Zr", "Zr", "Sc", "Sc"],
  "frac_coords": [[0.250, 0.250, 0.113], [0.750, 0.750, 0.887], [0.250, 0.250, 0.709], [0.750, 0.750, 0.291], [0.250, 0.250, 0.434], [0.750, 0.750, 0.566]],
  "space_group": "No. 129",
  "e_form_ev_per_atom": 0.15,
  "e_above_lowest_polymorph_ev_per_atom": 0.056
}

---

{
  "formula": "Pm4NiBi2",
  "functional": "PBE-GGA",
  "state": "relaxed",
  "lattice_angstrom": [[7.087, 0.000, 0.000], [0.000, 6.592, 0.000], [-3.056, 0.000, 8.991]],
  "species": ["Pm", "Pm", "Pm", "Pm", "Pm", "Pm", "Pm", "Pm", "Ni", "Ni", "Bi", "Bi", "Bi", "Bi"],
  "frac_coords": [[0.017, 0.006, 0.273], [0.017, 0.494, 0.273], [0.381, 0.750, 0.077], [0.438, 0.750, 0.629], [0.562, 0.250, 0.371], [0.619, 0.250, 0.923], [0.983, 0.506, 0.727], [0.983, 0.994, 0.727], [0.331, 0.750, 0.334], [0.669, 0.250, 0.666], [0.217, 0.250, 0.042], [0.271, 0.250, 0.581], [0.729, 0.750, 0.419], [0.783, 0.750, 0.958]],
  "space_group": "No. 11",
  "e_form_ev_per_atom": -0.52,
  "e_above_lowest_polymorph_ev_per_atom": 0.017
}

---

{
  "formula": "Rb4Ac3HfTe8",
  "functional": "PBE-GGA",
  "state": "relaxed",
  "lattice_angstrom": [[4.714, 2.722, 8.613], [-4.714, 2.722, 8.613], [0.000, -5.443, 8.613]],
  "species": ["Rb", "Rb", "Rb", "Rb", "Ac", "Ac", "Ac", "Hf", "Te", "Te", "Te", "Te", "Te", "Te", "Te", "Te"],
  "frac_coords": [[0.000, 0.000, 0.000], [0.000, 0.500, 0.500], [0.500, 0.000, 0.500], [0.500, 0.500, 0.000], [0.000, 0.000, 0.500], [0.000, 0.500, 0.000], [0.500, 0.000, 0.000], [0.500, 0.500, 0.500], [0.240, 0.240, 0.240], [0.267, 0.717, 0.717], [0.283, 0.283, 0.733], [0.283, 0.733, 0.283], [0.717, 0.267, 0.717], [0.717, 0.717, 0.267], [0.733, 0.283, 0.283], [0.760, 0.760, 0.760]],
  "space_group": "No. 166",
  "formation_energy_uncorrected_kj_per_mol_atoms": -124.3
}

---

{
  "formula": "LiTeAuN2",
  "functional": "PBE-GGA",
  "state": "relaxed",
  "lattice_angstrom": [[4.030, 0.000, 0.000], [0.000, 4.030, 0.000], [0.000, 0.000, 5.509]],
  "species": ["Li", "Te", "Au", "N", "N"],
  "frac_coords": [[0.000, 0.000, 0.000], [0.000, 0.000, 0.500], [0.500, 0.500, 0.500], [0.000, 0.500, 0.000], [0.500, 0.000, 0.000]],
  "space_group": "No. 123",
  "formation_energy_uncorrected_kj_per_mol_atoms": 156.7,
  "e_above_lowest_polymorph_ev_per_atom": 0.302
}

---

{
  "formula": "Sr4AlIn3",
  "functional": "PBE-GGA",
  "state": "relaxed",
  "lattice_angstrom": [[4.467, 0.000, 0.000], [0.000, 4.915, 0.000], [0.000, 0.000, 12.767]],
  "species": ["Sr", "Sr", "Sr", "Sr", "Al", "In", "In", "In"],
  "frac_coords": [[0.000, 0.000, 0.000], [0.000, 0.500, 0.290], [0.500, 0.000, 0.493], [0.500, 0.500, 0.792], [0.500, 0.000, 0.210], [0.000, 0.000, 0.715], [0.000, 0.500, 0.572], [0.500, 0.500, 0.079]],
  "space_group": "No. 25",
  "e_form_ev_per_atom": -0.35
}

---

{
  "formula": "Tb3CdHg12",
  "functional": "PBE-GGA",
  "state": "relaxed",
  "lattice_angstrom": [[4.661, 0.000, 0.000], [0.000, 4.661, 0.000], [0.000, 0.000, 17.978]],
  "species": ["Tb", "Tb", "Tb", "Cd", "Hg", "Hg", "Hg", "Hg", "Hg", "Hg", "Hg", "Hg", "Hg", "Hg", "Hg", "Hg"],
  "frac_coords": [[0.000, 0.000, 0.000], [0.000, 0.000, 0.260], [0.000, 0.000, 0.740], [0.000, 0.000, 0.500], [0.000, 0.500, 0.127], [0.000, 0.500, 0.379], [0.000, 0.500, 0.621], [0.000, 0.500, 0.873], [0.500, 0.000, 0.127], [0.500, 0.000, 0.379], [0.500, 0.000, 0.621], [0.500, 0.000, 0.873], [0.500, 0.500, 0.000], [0.500, 0.500, 0.250], [0.500, 0.500, 0.500], [0.500, 0.500, 0.750]],
  "space_group": "No. 123",
  "e_form_ev_per_atom": -0.25
}

---

Raw total energy? In order: -38.40; -72.37; -71.90; -16.86; -21.51; -22.36 eV/cell.
Fermi-level density of states? In order: 1.888; 0.944; 0.323; 0.730; 0.700; 0.653 states/eV per atom.